Entry 1:
This record from Alexandria describes a relaxed LiZn6Au crystal. The functional is PBE.

M_tot	0.00	μB/f.u.
calculated total energy	-1.68	eV/atom
DOS(E_F)	2.47	states/eV per cell

abc: 5.009 5.009 5.009
angles: 90.00 90.00 90.00
Fractional coordinates of all 8 atoms:
Li 0.000 0.000 0.000
Zn 0.000 0.247 0.500
Zn 0.000 0.753 0.500
Zn 0.247 0.500 0.000
Zn 0.500 0.000 0.247
Zn 0.500 0.000 0.753
Zn 0.753 0.500 0.000
Au 0.500 0.500 0.500

Entry 2:
This record from Alexandria describes a relaxed Li2Zn3Au8 crystal. The functional is PBE.

M_tot	0.00	μB/f.u.
calculated total energy	-2.69	eV/atom
DOS(E_F)	3.60	states/eV per cell

abc: 10.209 10.209 10.209
angles: 30.80 30.80 30.80
Fractional coordinates of all 13 atoms:
Li 0.133 0.133 0.133
Li 0.867 0.867 0.867
Zn 0.311 0.311 0.311
Zn 0.500 0.500 0.500
Zn 0.689 0.689 0.689
Au 0.220 0.220 0.220
Au 0.222 0.222 0.723
Au 0.222 0.723 0.222
Au 0.277 0.778 0.778
Au 0.723 0.222 0.222
Au 0.778 0.277 0.778
Au 0.778 0.778 0.277
Au 0.780 0.780 0.780

Entry 3:
This record from Alexandria describes a relaxed LiZn3Au2 crystal. The functional is PBE.

M_tot	0.00	μB/f.u.
calculated total energy	-2.35	eV/atom
DOS(E_F)	2.47	states/eV per cell

abc: 4.162 7.042 7.489
angles: 72.83 74.13 73.31
Fractional coordinates of all 12 atoms:
Li 0.111 0.304 0.472
Li 0.889 0.696 0.528
Zn 0.034 0.803 0.128
Zn 0.267 0.382 0.087
Zn 0.358 0.925 0.360
Zn 0.642 0.075 0.640
Zn 0.733 0.618 0.913
Zn 0.966 0.197 0.872
Au 0.199 0.847 0.749
Au 0.432 0.436 0.706
Au 0.568 0.564 0.294
Au 0.801 0.153 0.251

Entry 4:
This record from Alexandria describes a relaxed LiZn2Au2 crystal. The functional is PBE.

M_tot	0.00	μB/f.u.
calculated total energy	-2.52	eV/atom
DOS(E_F)	2.61	states/eV per cell

abc: 7.474 7.474 3.059
angles: 90.00 90.00 90.00
Fractional coordinates of all 10 atoms:
Li 0.000 0.000 0.000
Li 0.500 0.500 0.000
Zn 0.144 0.356 0.500
Zn 0.356 0.856 0.500
Zn 0.644 0.144 0.500
Zn 0.856 0.644 0.500
Au 0.156 0.656 0.000
Au 0.344 0.156 0.000
Au 0.656 0.844 0.000
Au 0.844 0.344 0.000

Entry 5:
This record from Alexandria describes a relaxed Li4Zn3Au2 crystal. The functional is PBE.

M_tot	0.00	μB/f.u.
calculated total energy	-2.38	eV/atom
DOS(E_F)	1.87	states/eV per cell

abc: 4.878 4.878 8.219
angles: 110.66 110.66 48.85
Fractional coordinates of all 9 atoms:
Li 0.010 0.010 0.335
Li 0.337 0.337 0.113
Li 0.663 0.663 0.887
Li 0.990 0.990 0.665
Zn 0.000 0.000 0.000
Zn 0.340 0.340 0.446
Zn 0.660 0.660 0.554
Au 0.323 0.323 0.773
Au 0.677 0.677 0.227

Entry 6:
This record from Alexandria describes a relaxed LiZnAu2 crystal. The functional is PBE.

M_tot	0.00	μB/f.u.
calculated total energy	-2.85	eV/atom
DOS(E_F)	0.96	states/eV per cell

abc: 4.349 4.349 3.329
angles: 90.13 90.13 91.19
Fractional coordinates of all 4 atoms:
Li 0.000 0.000 0.000
Zn 0.500 0.500 0.000
Au 0.000 0.500 0.500
Au 0.500 0.000 0.500

Entry 7:
This record from Alexandria describes a relaxed LiZn7Au12 crystal. The functional is PBE.

M_tot	0.00	μB/f.u.
calculated total energy	-2.69	eV/atom
DOS(E_F)	6.67	states/eV per cell

abc: 7.521 7.521 7.521
angles: 107.71 107.71 107.71
Fractional coordinates of all 20 atoms:
Li 0.000 0.000 0.000
Zn 0.020 0.299 0.412
Zn 0.299 0.412 0.020
Zn 0.412 0.020 0.299
Zn 0.500 0.500 0.500
Zn 0.588 0.980 0.701
Zn 0.701 0.588 0.980
Zn 0.980 0.701 0.588
Au 0.020 0.908 0.316
Au 0.092 0.684 0.980
Au 0.233 0.661 0.392
Au 0.316 0.020 0.908
Au 0.339 0.608 0.767
Au 0.392 0.233 0.661
Au 0.608 0.767 0.339
Au 0.661 0.392 0.233
Au 0.684 0.980 0.092
Au 0.767 0.339 0.608
Au 0.908 0.316 0.020
Au 0.980 0.092 0.684

Entry 8:
This record from Alexandria describes a relaxed LiZnAu2 crystal. The functional is PBE.

M_tot	0.00	μB/f.u.
calculated total energy	-2.81	eV/atom
DOS(E_F)	0.81	states/eV per cell

abc: 4.964 4.964 4.611
angles: 100.20 100.20 35.21
Fractional coordinates of all 4 atoms:
Li 0.000 0.000 0.000
Zn 0.238 0.238 0.678
Au 0.497 0.497 0.506
Au 0.744 0.744 0.169

Entry 9:
This record from Alexandria describes a relaxed LiZn2Au6 crystal. The functional is PBE.

M_tot	0.00	μB/f.u.
calculated total energy	-2.85	eV/atom
DOS(E_F)	2.30	states/eV per cell

abc: 7.168 7.168 7.168
angles: 147.33 116.33 73.42
Fractional coordinates of all 9 atoms:
Li 0.000 0.000 0.000
Zn 0.318 0.318 0.000
Zn 0.682 0.682 0.000
Au 0.101 0.835 0.266
Au 0.268 0.500 0.768
Au 0.432 0.165 0.266
Au 0.568 0.835 0.734
Au 0.732 0.500 0.232
Au 0.899 0.165 0.734

Entry 10:
This record from Alexandria describes a relaxed Li5Zn4Au4 crystal. The functional is PBE.

M_tot	0.00	μB/f.u.
calculated total energy	-2.48	eV/atom
DOS(E_F)	2.36	states/eV per cell

abc: 7.501 7.501 7.501
angles: 94.57 94.57 147.20
Fractional coordinates of all 13 atoms:
Li 0.000 0.000 0.000
Li 0.299 0.381 0.680
Li 0.381 0.701 0.082
Li 0.619 0.299 0.918
Li 0.701 0.619 0.320
Zn 0.111 0.582 0.693
Zn 0.418 0.111 0.528
Zn 0.582 0.889 0.472
Zn 0.889 0.418 0.307
Au 0.070 0.235 0.305
Au 0.235 0.930 0.165
Au 0.765 0.070 0.835
Au 0.930 0.765 0.695

Entry 11:
This record from Alexandria describes a relaxed LiZnAu crystal. The functional is PBE.

M_tot	0.00	μB/f.u.
calculated total energy	-2.54	eV/atom
DOS(E_F)	0.76	states/eV per cell

abc: 4.805 4.805 4.805
angles: 144.62 133.44 59.80
Fractional coordinates of all 3 atoms:
Li 0.000 0.000 0.000
Zn 0.331 0.331 0.000
Au 0.663 0.663 0.000

Entry 12:
This record from Alexandria describes a relaxed Li2Zn6Au crystal. The functional is PBE.

M_tot	0.00	μB/f.u.
calculated total energy	-1.78	eV/atom
DOS(E_F)	1.87	states/eV per cell

abc: 5.758 5.758 5.398
angles: 90.15 90.15 59.88
Fractional coordinates of all 9 atoms:
Li 0.166 0.166 0.159
Li 0.834 0.834 0.841
Zn 0.129 0.685 0.331
Zn 0.314 0.314 0.668
Zn 0.315 0.871 0.669
Zn 0.685 0.129 0.331
Zn 0.686 0.686 0.332
Zn 0.871 0.315 0.669
Au 0.500 0.500 0.000

Which of these has the highest calculated total energy?
LiZn6Au

Number 5 is which compound?
Li4Zn3Au2

What is the DOS(E_F) in the third record?
2.47 states/eV per cell

Number 11 is which compound?
LiZnAu